A geometry-optimized NaPt2I structure. Source: Alexandria, functional PBE.

Cell lengths 5.091, 5.091, 9.895 Å; angles 75.09, 75.09, 90.00 degrees
Sites, in units of the cell vectors:
I  0.000  0.000  0.000
I  0.750  0.250  0.500
Na  0.500  0.500  0.000
Na  0.250  0.750  0.500
Pt  0.813  0.125  0.250
Pt  0.937  0.625  0.250
Pt  0.375  0.187  0.750
Pt  0.875  0.063  0.750

Computed properties:
- Crystal system: tetragonal
- Raw formation energy: 0.21 eV/atom
- Energy above the most stable polymorph in this dataset: 0 meV/atom